## NdYAgPd (PBE)

Data for an optimized crystal structure of NdYAgPd.

extended XYZ file:
```
4
Lattice="0.000 3.637 3.637 3.637 0.000 3.637 3.637 3.637 0.000" Properties=species:S:1:pos:R:3 pbc="T T T"
Nd 0.000 0.000 0.000
Y 3.637 3.637 3.637
Ag 5.456 5.456 5.456
Pd 1.819 1.819 1.819
```

Values from the calculation:
**SG**: F-43m
**M_tot**: 0.0 μB per formula unit
**Formation energy**: -0.53 eV per atom